w) First-principles (PBE) data for a geometry-optimized PW4 structure, as listed in the Alexandria database.

a b c (Å): 4.412 4.412 4.412
angles (deg): 90.00 90.00 90.00
Sites, in units of the cell vectors:
P 0.500 0.500 0.500
W 0.000 0.000 0.000
W 0.500 0.000 0.500
W 0.000 0.500 0.500
W 0.500 0.500 0.000



x) First-principles (PBE) data for a geometry-optimized PW4 structure, as listed in the Alexandria database.

a b c (Å): 6.660 6.660 6.660
angles (deg): 145.08 145.08 50.21
Sites, in units of the cell vectors:
P 0.000 0.000 0.000
W 0.750 0.250 0.500
W 0.250 0.750 0.500
W 0.614 0.614 0.000
W 0.386 0.386 0.000



The calculated energies rank the structures as follows, beginning with the most stable: w), x).



w) First-principles (PBE) data for a geometry-optimized YP2W structure, as listed in the Alexandria database.

a b c (Å): 6.763 6.763 6.763
angles (deg): 151.46 150.52 41.50
Sites, in units of the cell vectors:
Y 0.705 0.205 0.500
P 0.029 0.029 0.000
P 0.313 0.813 0.500
W 0.453 0.453 0.000



x) First-principles (PBE) data for a geometry-optimized YP2W structure, as listed in the Alexandria database.

a b c (Å): 5.013 5.013 5.013
angles (deg): 138.22 113.40 81.79
Sites, in units of the cell vectors:
P 0.032 0.032 0.000
P 0.468 0.468 0.000
W 0.250 0.750 0.500
Y 0.750 0.250 0.500



The calculated energies rank the structures as follows, beginning with the most stable: w), x).



w) First-principles (PBE) data for a geometry-optimized YP3W structure, as listed in the Alexandria database.

a b c (Å): 4.996 4.996 4.996
angles (deg): 90.00 90.00 90.00
Sites, in units of the cell vectors:
Y 0.000 0.000 0.000
P 0.000 0.500 0.000
P 0.000 0.000 0.500
P 0.500 0.000 0.000
W 0.500 0.500 0.500



x) First-principles (PBE) data for a geometry-optimized YP3W structure, as listed in the Alexandria database.

a b c (Å): 4.716 4.716 4.716
angles (deg): 90.00 90.00 90.00
Sites, in units of the cell vectors:
Y 0.500 0.500 0.500
P 0.000 0.500 0.000
P 0.000 0.000 0.500
P 0.500 0.000 0.000
W 0.000 0.000 0.000



The calculated energies rank the structures as follows, beginning with the most stable: x), w).



w) First-principles (PBE) data for a geometry-optimized Y3PW structure, as listed in the Alexandria database.

a b c (Å): 5.320 5.320 5.320
angles (deg): 90.00 90.00 90.00
Sites, in units of the cell vectors:
Y 0.000 0.500 0.000
Y 0.000 0.000 0.500
Y 0.500 0.000 0.000
P 0.500 0.500 0.500
W 0.000 0.000 0.000



x) First-principles (PBE) data for a geometry-optimized Y3PW structure, as listed in the Alexandria database.

a b c (Å): 5.200 5.200 5.200
angles (deg): 90.00 90.00 90.00
Sites, in units of the cell vectors:
Y 0.000 0.500 0.000
Y 0.000 0.000 0.500
Y 0.500 0.000 0.000
P 0.000 0.000 0.000
W 0.500 0.500 0.500



The calculated energies rank the structures as follows, beginning with the most stable: x), w).